The following is a PBE with a Hubbard U calculation of an optimized crystal structure of AlCrOF2, from the Alexandria database.

Properties
E above lowest polymorph ... 0.0 kJ per mole of atoms
Total magnetization ... 1.000 μB per atom
Raw total energy ... -31.3 eV per formula unit

Geometry as CIF:
```
data_AlCrOF2
_chemical_formula_sum 'Al1 Cr1 O1 F2'
_symmetry_space_group_name_H-M 'P 1'
_symmetry_Int_Tables_number 1
_symmetry_space_group_name_Hall 'P 1'
_cell_length_a 3.892
_cell_length_b 3.892
_cell_length_c 3.601
_cell_angle_alpha 90.00
_cell_angle_beta 90.00
_cell_angle_gamma 90.00
loop_
_atom_site_label
_atom_site_fract_x
_atom_site_fract_y
_atom_site_fract_z
Cr1 0.500 0.500 0.500
Al1 0.000 0.000 0.000
O1 0.000 0.000 0.500
F1 0.000 0.500 0.000
F2 0.500 0.000 0.000
```